Here is a relaxed BeZnPd crystal from the Open Quantum Materials Database. Energies are from GGA-PBE.

Properties
distance to the lowest polymorph of the same formula	0.031	eV/atom
crystal system	tetragonal

```
data_BeZnPd
_chemical_formula_sum 'Be2 Zn2 Pd2'
_cell_length_a 2.9157
_cell_length_b 2.9157
_cell_length_c 8.8277
_cell_angle_alpha 90.00
_cell_angle_beta 90.00
_cell_angle_gamma 90.00
_space_group_name_H-M_alt 'I 4 m m'
_space_group_IT_number 107
_space_group_name_Hall 'I 4 -2'
loop_
_atom_site_label
_atom_site_type_symbol
_atom_site_fract_x
_atom_site_fract_y
_atom_site_fract_z
Be1 Be 0.0000 0.0000 0.0000
Zn1 Zn 0.0000 0.0000 0.6696
Pd1 Pd 0.0000 0.0000 0.3667
```

***

Here is a relaxed Be2ZnPd3 crystal from the Open Quantum Materials Database. Energies are from GGA-PBE.

Properties
crystal system	tetragonal
DFT total energy	-4.64	eV/atom

```
data_Be2ZnPd3
_chemical_formula_sum 'Be2 Zn1 Pd3'
_cell_length_a 2.7991
_cell_length_b 2.7991
_cell_length_c 9.5065
_cell_angle_alpha 90.00
_cell_angle_beta 90.00
_cell_angle_gamma 90.00
_space_group_name_H-M_alt 'P 4/m m m'
_space_group_IT_number 123
_space_group_name_Hall '-P 4 2'
loop_
_atom_site_label
_atom_site_type_symbol
_atom_site_fract_x
_atom_site_fract_y
_atom_site_fract_z
Be1 Be 0.0000 0.0000 0.1551
Zn1 Zn 0.0000 0.0000 0.5000
Pd1 Pd 0.5000 0.5000 0.0000
Pd2 Pd 0.5000 0.5000 0.3028
```

***

Here is a relaxed BeZnPd crystal from the Open Quantum Materials Database. Energies are from GGA-PBE.

Properties
distance to the lowest polymorph of the same formula	0.000	eV/atom
crystal system	tetragonal

```
data_BeZnPd
_chemical_formula_sum 'Be2 Zn2 Pd2'
_cell_length_a 2.9120
_cell_length_b 2.9120
_cell_length_c 8.8637
_cell_angle_alpha 90.00
_cell_angle_beta 90.00
_cell_angle_gamma 90.00
_space_group_name_H-M_alt 'P 4/n m m'
_space_group_IT_number 129
loop_
_space_group_symop_operation_xyz
'x,y,z'
'-x,-y,-z'
'-y+1/2,x,z'
'y+1/2,-x,-z'
'-x+1/2,-y+1/2,z'
'x+1/2,y+1/2,-z'
'y,-x+1/2,z'
'-y,x+1/2,-z'
'x+1/2,-y,-z'
'-x+1/2,y,z'
'-y,-x,-z'
'y,x,z'
'-x,y+1/2,-z'
'x,-y+1/2,z'
'y+1/2,x+1/2,-z'
'-y+1/2,-x+1/2,z'
loop_
_atom_site_label
_atom_site_type_symbol
_atom_site_fract_x
_atom_site_fract_y
_atom_site_fract_z
Be1 Be 0.2500 0.2500 0.0660
Zn1 Zn 0.2500 0.2500 0.4014
Pd1 Pd 0.2500 0.2500 0.7948
```

***

Here is a relaxed BeZnPd2 crystal from the Open Quantum Materials Database. Energies are from GGA-PBE.

Properties
crystal system	cubic
DFT total energy	-4.06	eV/atom

```
data_BeZnPd2
_chemical_formula_sum 'Be4 Zn4 Pd8'
_cell_length_a 6.0227
_cell_length_b 6.0227
_cell_length_c 6.0227
_cell_angle_alpha 90.00
_cell_angle_beta 90.00
_cell_angle_gamma 90.00
_space_group_name_H-M_alt 'F -4 3 m'
_space_group_IT_number 216
_space_group_name_Hall 'F -4 2 3'
loop_
_atom_site_label
_atom_site_type_symbol
_atom_site_fract_x
_atom_site_fract_y
_atom_site_fract_z
Be1 Be 0.0000 0.0000 0.0000
Zn1 Zn 0.2500 0.2500 0.7500
Pd1 Pd 0.0000 0.0000 0.5000
Pd2 Pd 0.2500 0.2500 0.2500
```

***

Here is a relaxed BeZnPd crystal from the Open Quantum Materials Database. Energies are from GGA-PBE.

Properties
distance to the lowest polymorph of the same formula	0.360	eV/atom
crystal system	cubic

```
data_BeZnPd
_chemical_formula_sum 'Be4 Zn4 Pd4'
_cell_length_a 5.6880
_cell_length_b 5.6880
_cell_length_c 5.6880
_cell_angle_alpha 90.00
_cell_angle_beta 90.00
_cell_angle_gamma 90.00
_space_group_name_H-M_alt 'F -4 3 m'
_space_group_IT_number 216
_space_group_name_Hall 'F -4 2 3'
loop_
_atom_site_label
_atom_site_type_symbol
_atom_site_fract_x
_atom_site_fract_y
_atom_site_fract_z
Be1 Be 0.0000 0.0000 0.0000
Zn1 Zn 0.0000 0.0000 0.5000
Pd1 Pd 0.2500 0.2500 0.2500
```

***

Here is a relaxed Be3ZnPd2 crystal from the Open Quantum Materials Database. Energies are from GGA-PBE.

Properties
crystal system	tetragonal
DFT total energy	-4.17	eV/atom

```
data_Be3ZnPd2
_chemical_formula_sum 'Be3 Zn1 Pd2'
_cell_length_a 2.8742
_cell_length_b 2.8742
_cell_length_c 8.3359
_cell_angle_alpha 90.00
_cell_angle_beta 90.00
_cell_angle_gamma 90.00
_space_group_name_H-M_alt 'P 4 m m'
_space_group_IT_number 99
loop_
_space_group_symop_operation_xyz
'x,y,z'
'-y,x,z'
'-x,-y,z'
'y,-x,z'
'-x,y,z'
'y,x,z'
'x,-y,z'
'-y,-x,z'
loop_
_atom_site_label
_atom_site_type_symbol
_atom_site_fract_x
_atom_site_fract_y
_atom_site_fract_z
Be1 Be 0.0000 0.0000 0.0000
Be2 Be 0.0000 0.0000 0.3144
Be3 Be 0.5000 0.5000 0.4533
Zn1 Zn 0.5000 0.5000 0.8217
Pd1 Pd 0.0000 0.0000 0.6049
Pd2 Pd 0.5000 0.5000 0.1550
```

***

Here is a relaxed PmPrBe crystal from the Open Quantum Materials Database. Energies are from GGA-PBE.

Properties
distance to the lowest polymorph of the same formula	0.000	eV/atom
crystal system	cubic
total magnetic moment	0.01	μB/f.u.

```
data_PmPrBe
_chemical_formula_sum 'Pm4 Pr4 Be4'
_cell_length_a 6.9453
_cell_length_b 6.9453
_cell_length_c 6.9453
_cell_angle_alpha 90.00
_cell_angle_beta 90.00
_cell_angle_gamma 90.00
_space_group_name_H-M_alt 'F -4 3 m'
_space_group_IT_number 216
_space_group_name_Hall 'F -4 2 3'
loop_
_atom_site_label
_atom_site_type_symbol
_atom_site_fract_x
_atom_site_fract_y
_atom_site_fract_z
Pm1 Pm 0.0000 0.0000 0.0000
Pr1 Pr 0.2500 0.2500 0.2500
Be1 Be 0.2500 0.2500 0.7500
```

***

Here is a relaxed RbPmBe crystal from the Open Quantum Materials Database. Energies are from GGA-PBE.

Properties
crystal system	cubic
total magnetic moment	0.10	μB/f.u.
DFT total energy	-1.85	eV/atom

```
data_RbPmBe
_chemical_formula_sum 'Rb4 Pm4 Be4'
_cell_length_a 7.3212
_cell_length_b 7.3212
_cell_length_c 7.3212
_cell_angle_alpha 90.00
_cell_angle_beta 90.00
_cell_angle_gamma 90.00
_space_group_name_H-M_alt 'F -4 3 m'
_space_group_IT_number 216
_space_group_name_Hall 'F -4 2 3'
loop_
_atom_site_label
_atom_site_type_symbol
_atom_site_fract_x
_atom_site_fract_y
_atom_site_fract_z
Rb1 Rb 0.0000 0.0000 0.0000
Pm1 Pm 0.2500 0.2500 0.7500
Be1 Be 0.0000 0.0000 0.5000
```

***

Here is a relaxed PmBeRe crystal from the Open Quantum Materials Database. Energies are from GGA-PBE.

Properties
distance to the lowest polymorph of the same formula	0.000	eV/atom
crystal system	cubic
total magnetic moment	0.44	μB/f.u.

```
data_PmBeRe
_chemical_formula_sum 'Pm4 Be4 Re4'
_cell_length_a 6.0940
_cell_length_b 6.0940
_cell_length_c 6.0940
_cell_angle_alpha 90.00
_cell_angle_beta 90.00
_cell_angle_gamma 90.00
_space_group_name_H-M_alt 'F -4 3 m'
_space_group_IT_number 216
_space_group_name_Hall 'F -4 2 3'
loop_
_atom_site_label
_atom_site_type_symbol
_atom_site_fract_x
_atom_site_fract_y
_atom_site_fract_z
Pm1 Pm 0.0000 0.0000 0.0000
Be1 Be 0.2500 0.2500 0.2500
Re1 Re 0.0000 0.0000 0.5000
```

***

Here is a relaxed PmBeRe crystal from the Open Quantum Materials Database. Energies are from GGA-PBE.

Properties
distance to the lowest polymorph of the same formula	1.081	eV/atom
crystal system	cubic
total magnetic moment	1.90	μB/f.u.

```
data_PmBeRe
_chemical_formula_sum 'Pm4 Be4 Re4'
_cell_length_a 6.4721
_cell_length_b 6.4721
_cell_length_c 6.4721
_cell_angle_alpha 90.00
_cell_angle_beta 90.00
_cell_angle_gamma 90.00
_space_group_name_H-M_alt 'F -4 3 m'
_space_group_IT_number 216
_space_group_name_Hall 'F -4 2 3'
loop_
_atom_site_label
_atom_site_type_symbol
_atom_site_fract_x
_atom_site_fract_y
_atom_site_fract_z
Pm1 Pm 0.0000 0.0000 0.0000
Be1 Be 0.2500 0.2500 0.7500
Re1 Re 0.2500 0.2500 0.2500
```

***

Here is a relaxed Pm3Be2S3 crystal from the Open Quantum Materials Database. Energies are from GGA-PBE.

Properties
crystal system	monoclinic
total magnetic moment	0.00	μB/f.u.
DFT total energy	-5.37	eV/atom

```
data_Pm3Be2S3
_chemical_formula_sum 'Pm3 Be2 S3'
_cell_length_a 4.1990
_cell_length_b 3.7901
_cell_length_c 10.5279
_cell_angle_alpha 90.00
_cell_angle_beta 101.46
_cell_angle_gamma 90.00
_space_group_name_H-M_alt 'P 1 2/m 1'
_space_group_IT_number 10
loop_
_space_group_symop_operation_xyz
'x,y,z'
'-x,-y,-z'
'-x,y,-z'
'x,-y,z'
loop_
_atom_site_label
_atom_site_type_symbol
_atom_site_fract_x
_atom_site_fract_y
_atom_site_fract_z
Pm1 Pm 0.0000 0.0000 0.0000
Pm2 Pm 0.3689 0.5000 0.7347
Be1 Be 0.2269 0.5000 0.4557
S1 S 0.1485 0.0000 0.3004
S2 S 0.5000 0.5000 0.0000
```

***

Here is a relaxed PmScBe crystal from the Open Quantum Materials Database. Energies are from GGA-PBE.

Properties
distance to the lowest polymorph of the same formula	0.000	eV/atom
crystal system	cubic
total magnetic moment	0.00	μB/f.u.

```
data_PmScBe
_chemical_formula_sum 'Pm4 Sc4 Be4'
_cell_length_a 6.5475
_cell_length_b 6.5475
_cell_length_c 6.5475
_cell_angle_alpha 90.00
_cell_angle_beta 90.00
_cell_angle_gamma 90.00
_space_group_name_H-M_alt 'F -4 3 m'
_space_group_IT_number 216
_space_group_name_Hall 'F -4 2 3'
loop_
_atom_site_label
_atom_site_type_symbol
_atom_site_fract_x
_atom_site_fract_y
_atom_site_fract_z
Pm1 Pm 0.0000 0.0000 0.0000
Sc1 Sc 0.2500 0.2500 0.7500
Be1 Be 0.0000 0.0000 0.5000
```